Record 1
## NbTl2CCl (PBE-GGA)

Data for a relaxed structure of NbTl2CCl.

Calculated values
Space group ... P4/mmm
Energy ... -18.6 eV/cell
D(E_F) ... 3.60 states/eV/f.u.
Raw formation energy ... 1.450 eV/atom

Cell lengths 5.725, 5.725, 4.732 Å; angles 90.00, 90.00, 90.00 degrees
Fractional coordinates of all 5 atoms:
Nb 0.000 0.000 0.000
Tl 0.000 0.500 0.000
Tl 0.500 0.000 0.000
C 0.500 0.500 0.500
Cl 0.000 0.000 0.500


Record 2
## CsK15Rb4 (PBE-GGA)

Data for a relaxed structure of CsK15Rb4.

Calculated values
Space group ... P4/mmm
Energy ... -21.1 eV/cell
D(E_F) ... 12.80 states/eV/f.u.
Energy of formation from the pure elements ... 0.0042 eV per atom

Cell lengths 6.889, 6.889, 32.710 Å; angles 90.00, 90.00, 90.00 degrees
Fractional coordinates of all 20 atoms:
Cs 0.000 0.000 0.000
K 0.000 0.500 0.104
K 0.000 0.500 0.301
K 0.000 0.500 0.500
K 0.000 0.500 0.699
K 0.000 0.500 0.896
K 0.500 0.000 0.104
K 0.500 0.000 0.301
K 0.500 0.000 0.500
K 0.500 0.000 0.699
K 0.500 0.000 0.896
K 0.500 0.500 0.000
K 0.500 0.500 0.202
K 0.500 0.500 0.400
K 0.500 0.500 0.600
K 0.500 0.500 0.798
Rb 0.000 0.000 0.203
Rb 0.000 0.000 0.400
Rb 0.000 0.000 0.600
Rb 0.000 0.000 0.797


> Which of these has the highest energy?

NbTl2CCl


> What is the energy in the second record?

-21.1 eV/cell